No. 1
A relaxed structure of ZnTcPb2. Source: OQMD, functional PBE-GGA.

a = 7.072 Å, b = 7.072 Å, c = 7.072 Å
α = 90.00°, β = 90.00°, γ = 90.00°
Space group F-43m (No. 216)
Asymmetric unit:
Zn (0.000, 0.000, 0.000) (multiplicity 4)
Tc (0.250, 0.250, 0.750) (multiplicity 4)
Pb (0.000, 0.000, 0.500) (multiplicity 4)
Pb (0.250, 0.250, 0.250) (multiplicity 4)

Computed properties:
Calculated total energy (eV/atom): -3.9647

No. 2
A relaxed structure of Pr3Mg3Cd2In. Source: OQMD, functional PBE-GGA.

a = 7.6592 Å, b = 7.6592 Å, c = 4.8427 Å
α = 90.00°, β = 90.00°, γ = 120.00°
Space group P-62m (No. 189)
Asymmetric unit:
Pr (0.0000, 0.4285, 0.0000) (multiplicity 3)
Mg (0.0000, 0.7596, 0.5000) (multiplicity 3)
Cd (0.3333, 0.6667, 0.5000) (multiplicity 2)
In (0.0000, 0.0000, 0.0000) (multiplicity 1)

Computed properties:
Calculated total energy (eV/atom): -2.9109

No. 3
A relaxed structure of Sr2TaTlO6. Source: OQMD, functional PBE-GGA.

a = 5.8811 Å, b = 5.8811 Å, c = 14.0847 Å
α = 90.00°, β = 90.00°, γ = 120.00°
Space group R-3 (No. 148, hexagonal axes)
Asymmetric unit:
Sr (0.0000, 0.0000, 0.2476) (multiplicity 6)
Ta (0.0000, 0.0000, 0.0000) (multiplicity 3)
Tl (0.0000, 0.0000, 0.5000) (multiplicity 3)
O (0.0254, 0.4328, 0.7473) (multiplicity 18)

Computed properties:
Calculated total energy (eV/atom): -7.1457

No. 4
A relaxed structure of RbTmC2O6. Source: OQMD, functional PBE-GGA.

a = 8.622 Å, b = 9.219 Å, c = 6.894 Å
α = 90.00°, β = 110.61°, γ = 90.00°
Space group C2/c (No. 15)
Asymmetric unit:
Rb (0.000, 0.111, 0.250) (multiplicity 4)
Tm (0.000, 0.403, 0.750) (multiplicity 4)
C (0.227, 0.377, 0.250) (multiplicity 8)
O (0.082, 0.379, 0.100) (multiplicity 8)
O (0.167, 0.223, 0.732) (multiplicity 8)
O (0.246, 0.017, 0.618) (multiplicity 8)

Computed properties:
Calculated total energy (eV/atom): -7.5030